Entry 1:
# TbEr2Tm3Te6 | Alexandria via LeMat-Bulk | GGA-PBE | optimized geometry
# VASP energy ... -60.5 eV/cell
# Uncorrected formation energy ... -1.206 eV per atom
data_TbEr2Tm3Te6
_symmetry_space_group_name_H-M 'P 1'
_symmetry_Int_Tables_number 1
_cell_length_a 4.296
_cell_length_b 8.682
_cell_length_c 9.682
_cell_angle_alpha 103.73
_cell_angle_beta 102.82
_cell_angle_gamma 90.00
loop_
_symmetry_equiv_pos_as_xyz
'x,y,z'
loop_
_atom_site_label
_atom_site_type_symbol
_atom_site_fract_x
_atom_site_fract_y
_atom_site_fract_z
_atom_site_occupancy
Tb1 Tb 0.500 0.000 0.000 1
Er1 Er 0.835 0.671 0.670 1
Er2 Er 0.165 0.329 0.330 1
Tm1 Tm 0.500 0.500 0.000 1
Tm2 Tm 0.836 0.168 0.671 1
Tm3 Tm 0.164 0.832 0.329 1
Te1 Te 0.331 0.918 0.661 1
Te2 Te 0.667 0.583 0.334 1
Te3 Te 0.669 0.082 0.339 1
Te4 Te 0.000 0.255 0.000 1
Te5 Te 0.000 0.745 0.000 1
Te6 Te 0.333 0.417 0.666 1

Entry 2:
# BaNaMgTl | Alexandria via LeMat-Bulk | GGA-PBE | optimized geometry
# DFT formation energy ... -0.161 eV per atom
# VASP energy ... -7.8 eV/cell
data_BaNaMgTl
_symmetry_space_group_name_H-M 'P 1'
_symmetry_Int_Tables_number 1
_cell_length_a 5.657
_cell_length_b 5.657
_cell_length_c 5.657
_cell_angle_alpha 60.00
_cell_angle_beta 60.00
_cell_angle_gamma 60.00
loop_
_symmetry_equiv_pos_as_xyz
'x,y,z'
loop_
_atom_site_label
_atom_site_type_symbol
_atom_site_fract_x
_atom_site_fract_y
_atom_site_fract_z
_atom_site_occupancy
Mg1 Mg 0.250 0.250 0.250 1
Na1 Na 0.000 0.000 0.000 1
Tl1 Tl 0.500 0.500 0.500 1
Ba1 Ba 0.750 0.750 0.750 1

Entry 3:
# Li2TaBe | Alexandria via LeMat-Bulk | GGA-PBE | optimized geometry
# DFT formation energy ... 0.201 eV per atom
# VASP energy ... -18.6 eV/cell
data_Li2TaBe
_symmetry_space_group_name_H-M 'P 1'
_symmetry_Int_Tables_number 1
_cell_length_a 2.768
_cell_length_b 2.768
_cell_length_c 8.111
_cell_angle_alpha 90.00
_cell_angle_beta 90.00
_cell_angle_gamma 90.00
loop_
_symmetry_equiv_pos_as_xyz
'x,y,z'
loop_
_atom_site_label
_atom_site_type_symbol
_atom_site_fract_x
_atom_site_fract_y
_atom_site_fract_z
_atom_site_occupancy
Be1 Be 0.500 0.500 0.751 1
Li1 Li 0.000 0.000 0.954 1
Li2 Li 0.500 0.500 0.244 1
Ta1 Ta 0.000 0.000 0.551 1

Entry 4:
# Ac3PrOs | Alexandria via LeMat-Bulk | GGA-PBE | optimized geometry
# E above lowest polymorph ... 156.6 meV per atom
# DFT formation energy ... 0.105 eV per atom
# VASP energy ... -27.8 eV/cell
data_Ac3PrOs
_symmetry_space_group_name_H-M 'P 1'
_symmetry_Int_Tables_number 1
_cell_length_a 5.885
_cell_length_b 5.885
_cell_length_c 5.885
_cell_angle_alpha 90.00
_cell_angle_beta 90.00
_cell_angle_gamma 90.00
loop_
_symmetry_equiv_pos_as_xyz
'x,y,z'
loop_
_atom_site_label
_atom_site_type_symbol
_atom_site_fract_x
_atom_site_fract_y
_atom_site_fract_z
_atom_site_occupancy
Pr1 Pr 0.500 0.500 0.500 1
Ac1 Ac 0.000 0.500 0.000 1
Ac2 Ac 0.000 0.000 0.500 1
Ac3 Ac 0.500 0.000 0.000 1
Os1 Os 0.000 0.000 0.000 1

Entry 5:
# TiNbAu | Alexandria via LeMat-Bulk | GGA-PBE | optimized geometry
# E above lowest polymorph ... 135.3 meV per atom
# DFT formation energy ... -0.099 eV per atom
# VASP energy ... -43.1 eV/cell
data_TiNbAu
_symmetry_space_group_name_H-M 'P 1'
_symmetry_Int_Tables_number 1
_cell_length_a 3.937
_cell_length_b 3.937
_cell_length_c 7.034
_cell_angle_alpha 96.71
_cell_angle_beta 96.71
_cell_angle_gamma 88.92
loop_
_symmetry_equiv_pos_as_xyz
'x,y,z'
loop_
_atom_site_label
_atom_site_type_symbol
_atom_site_fract_x
_atom_site_fract_y
_atom_site_fract_z
_atom_site_occupancy
Ti1 Ti 0.891 0.891 0.662 1
Ti2 Ti 0.109 0.109 0.338 1
Au1 Au 0.409 0.409 0.680 1
Au2 Au 0.591 0.591 0.320 1
Nb1 Nb 0.500 0.000 0.000 1
Nb2 Nb 0.000 0.500 0.000 1

Entry 6:
# Ca2InPd4 | Alexandria via LeMat-Bulk | GGA-PBE | optimized geometry
# DFT formation energy ... -0.122 eV per atom
# VASP energy ... -28.4 eV/cell
data_Ca2InPd4
_symmetry_space_group_name_H-M 'P 1'
_symmetry_Int_Tables_number 1
_cell_length_a 4.966
_cell_length_b 4.966
_cell_length_c 8.047
_cell_angle_alpha 107.97
_cell_angle_beta 107.97
_cell_angle_gamma 90.00
loop_
_symmetry_equiv_pos_as_xyz
'x,y,z'
loop_
_atom_site_label
_atom_site_type_symbol
_atom_site_fract_x
_atom_site_fract_y
_atom_site_fract_z
_atom_site_occupancy
Ca1 Ca 0.631 0.631 0.261 1
Ca2 Ca 0.369 0.369 0.739 1
In1 In 0.000 0.000 0.000 1
Pd1 Pd 0.820 0.820 0.641 1
Pd2 Pd 0.180 0.180 0.359 1
Pd3 Pd 0.000 0.500 0.000 1
Pd4 Pd 0.500 0.000 0.000 1

Entry 7:
# OsSNO2 | Alexandria via LeMat-Bulk | GGA-PBE | optimized geometry
# VASP energy ... -27.7 eV/cell
# Uncorrected formation energy ... 1.190 eV per atom
data_OsSNO2
_symmetry_space_group_name_H-M 'P 1'
_symmetry_Int_Tables_number 1
_cell_length_a 3.165
_cell_length_b 3.165
_cell_length_c 7.722
_cell_angle_alpha 90.00
_cell_angle_beta 90.00
_cell_angle_gamma 90.00
loop_
_symmetry_equiv_pos_as_xyz
'x,y,z'
loop_
_atom_site_label
_atom_site_type_symbol
_atom_site_fract_x
_atom_site_fract_y
_atom_site_fract_z
_atom_site_occupancy
S1 S 0.000 0.000 0.000 1
Os1 Os 0.500 0.500 0.500 1
O1 O 0.000 0.500 0.000 1
O2 O 0.500 0.000 0.000 1
N1 N 0.000 0.000 0.500 1

Entry 8:
# EuCdBiAu | Alexandria via LeMat-Bulk | GGA-PBE | optimized geometry
# DFT formation energy ... -0.457 eV per atom
# VASP energy ... -20.2 eV/cell
data_EuCdBiAu
_symmetry_space_group_name_H-M 'P 1'
_symmetry_Int_Tables_number 1
_cell_length_a 5.285
_cell_length_b 5.285
_cell_length_c 5.285
_cell_angle_alpha 60.00
_cell_angle_beta 60.00
_cell_angle_gamma 60.00
loop_
_symmetry_equiv_pos_as_xyz
'x,y,z'
loop_
_atom_site_label
_atom_site_type_symbol
_atom_site_fract_x
_atom_site_fract_y
_atom_site_fract_z
_atom_site_occupancy
Eu1 Eu 0.500 0.500 0.500 1
Au1 Au 0.250 0.250 0.250 1
Bi1 Bi 0.750 0.750 0.750 1
Cd1 Cd 0.000 0.000 0.000 1

Entry 9:
# BeZnPt2 | Alexandria via LeMat-Bulk | GGA-PBE | optimized geometry
# E above lowest polymorph ... 254.9 meV per atom
# DFT formation energy ... -0.424 eV per atom
# VASP energy ... -18.8 eV/cell
data_BeZnPt2
_symmetry_space_group_name_H-M 'P 1'
_symmetry_Int_Tables_number 1
_cell_length_a 4.427
_cell_length_b 4.427
_cell_length_c 4.908
_cell_angle_alpha 73.80
_cell_angle_beta 73.80
_cell_angle_gamma 37.10
loop_
_symmetry_equiv_pos_as_xyz
'x,y,z'
loop_
_atom_site_label
_atom_site_type_symbol
_atom_site_fract_x
_atom_site_fract_y
_atom_site_fract_z
_atom_site_occupancy
Be1 Be 0.250 0.250 0.250 1
Zn1 Zn 0.750 0.750 0.750 1
Pt1 Pt 0.968 0.968 0.022 1
Pt2 Pt 0.532 0.532 0.478 1

Entry 10:
# Cs3Pt2I9 | Alexandria via LeMat-Bulk | GGA-PBE | optimized geometry
# VASP energy ... -77.2 eV/cell
# Uncorrected formation energy ... -0.714 eV per atom
data_Cs3Pt2I9
_symmetry_space_group_name_H-M 'P 1'
_symmetry_Int_Tables_number 1
_cell_length_a 8.102
_cell_length_b 8.102
_cell_length_c 21.067
_cell_angle_alpha 90.00
_cell_angle_beta 90.00
_cell_angle_gamma 120.00
loop_
_symmetry_equiv_pos_as_xyz
'x,y,z'
loop_
_atom_site_label
_atom_site_type_symbol
_atom_site_fract_x
_atom_site_fract_y
_atom_site_fract_z
_atom_site_occupancy
Cs1 Cs 0.000 0.000 0.750 1
Cs2 Cs 0.000 0.000 0.250 1
Cs3 Cs 0.667 0.333 0.935 1
Cs4 Cs 0.333 0.667 0.065 1
Cs5 Cs 0.333 0.667 0.435 1
Cs6 Cs 0.667 0.333 0.565 1
Pt1 Pt 0.667 0.333 0.166 1
Pt2 Pt 0.333 0.667 0.834 1
Pt3 Pt 0.333 0.667 0.666 1
Pt4 Pt 0.667 0.333 0.334 1
I1 I 0.489 0.978 0.750 1
I2 I 0.022 0.511 0.750 1
I3 I 0.489 0.511 0.750 1
I4 I 0.511 0.022 0.250 1
I5 I 0.978 0.489 0.250 1
I6 I 0.511 0.489 0.250 1
I7 I 0.172 0.344 0.908 1
I8 I 0.656 0.828 0.908 1
I9 I 0.172 0.828 0.908 1
I10 I 0.828 0.656 0.092 1
I11 I 0.344 0.172 0.092 1
I12 I 0.828 0.172 0.092 1
I13 I 0.828 0.656 0.408 1
I14 I 0.344 0.172 0.408 1
I15 I 0.828 0.172 0.408 1
I16 I 0.172 0.344 0.592 1
I17 I 0.656 0.828 0.592 1
I18 I 0.172 0.828 0.592 1